No. 1
LaTc2Ir | GGA-PBE | relaxed

Properties
**M_tot**: 0.0 μB/cell
**SG**: No. 6
**Crystal system**: monoclinic
**Energy of formation from the pure elements**: 0.210 eV/atom
**Polymorph energy (0 for the lowest one)**: 0.544 eV per formula unit

Cell: 4.3980 2.9884 5.8418 Å, 78.99 90.00 90.00°
Sites, in units of the cell vectors:
Ir 0.0000 0.3576 0.4801
La 0.5000 0.7635 0.7202
Tc 0.0000 0.0143 0.0952
Tc 0.5000 0.3645 0.2045

---

No. 2
LaTcIr2 | GGA-PBE | relaxed

Properties
**M_tot**: 0.9 μB/cell
**SG**: No. 139
**Crystal system**: tetragonal
**Energy of formation from the pure elements**: 0.178 eV/atom
**Polymorph energy (0 for the lowest one)**: 1.091 eV per formula unit

Cell: 5.0307 5.0307 5.0307 Å, 130.48 130.48 72.64°
Site moments in Bohr magnetons follow the coordinates.
Sites, in units of the cell vectors:
Ir 0.0000 0.0000 0.0000  0.04
Ir 0.5000 0.5000 0.0000  0.04
La 0.2500 0.7500 0.5000  0.04
Tc 0.7500 0.2500 0.5000  0.71

---

No. 3
LaTc2Ir | GGA-PBE | relaxed

Properties
**M_tot**: 2.1 μB/cell
**SG**: No. 225
**Crystal system**: cubic
**Energy of formation from the pure elements**: 0.451 eV/atom
**Polymorph energy (0 for the lowest one)**: 1.508 eV per formula unit

Cell: 4.6393 4.6393 4.6393 Å, 60.00 60.00 60.00°
Site moments in Bohr magnetons follow the coordinates.
Sites, in units of the cell vectors:
Ir 0.5000 0.5000 0.5000  0.45
Tc 0.2500 0.2500 0.2500  0.73
Tc 0.7500 0.7500 0.7500  0.73
La 0.0000 0.0000 0.0000  0.04

---

No. 4
LaTc2Ir | GGA-PBE | relaxed

Properties
**M_tot**: 0.0 μB/cell
**SG**: No. 160
**Crystal system**: trigonal
**Energy of formation from the pure elements**: 0.074 eV/atom
**Polymorph energy (0 for the lowest one)**: 0.000 eV per formula unit

Cell: 4.2750 4.2750 5.9655 Å, 69.01 69.01 60.01°
Sites, in units of the cell vectors:
Ir 0.4633 0.4633 0.6101
La 0.2459 0.2459 0.2625
Tc 0.0551 0.0551 0.8346
Tc 0.7357 0.7357 0.7928

---

No. 5
La2TcIr | GGA-PBE | relaxed

Properties
**M_tot**: 0.0 μB/cell
**SG**: No. 166
**Crystal system**: trigonal
**Energy of formation from the pure elements**: 0.189 eV/atom
**Polymorph energy (0 for the lowest one)**: 1.686 eV per formula unit

Cell: 8.2708 8.2708 8.2708 Å, 26.67 26.67 26.67°
Sites, in units of the cell vectors:
Ir 0.7500 0.7500 0.7500
La 0.0054 0.0054 0.0054
La 0.4946 0.4946 0.4946
Tc 0.2500 0.2500 0.2500

---

No. 6
La8TcIr2 | GGA-PBE | relaxed

Properties
**M_tot**: 0.0 μB/cell
**SG**: No. 12
**Crystal system**: monoclinic
**Energy of formation from the pure elements**: -0.151 eV/atom

Cell: 7.0614 7.4500 8.4562 Å, 97.19 90.00 118.29°
Sites, in units of the cell vectors:
La 0.8802 0.2795 0.1227
La 0.3993 0.2795 0.1227
La 0.1198 0.7205 0.8773
La 0.3407 0.6815 0.4690
La 0.6007 0.7205 0.8773
La 0.9155 0.8309 0.3001
La 0.0845 0.1691 0.6999
La 0.6593 0.3185 0.5310
Tc 0.0000 0.0000 0.0000
Ir 0.8640 0.7280 0.6100
Ir 0.1360 0.2720 0.3900

---

> Among the records above, which one has the highest M_tot?

number 3

---

> Which value of M_tot does entry 6 give?

0.0 μB/cell